The following is a DFT calculation (PBE-GGA) of an optimized crystal structure of TlFeCoIr.

abc: 4.4073 4.4073 4.4073
angles: 60.00 60.00 60.00
Last column: magnetic moment on the atom in μB.
Positions (direct):
Ir1 0.2500 0.2500 0.2500  0.47
Tl1 0.0000 0.0000 0.0000  -0.03
Co1 0.7500 0.7500 0.7500  1.55
Fe1 0.5000 0.5000 0.5000  3.07

Excess energy over the best structure of this formula in the dataset ... 0.000 eV/atom
Calculated volume ... 15.134 Å³ per atom
Total magnetization ... 5.1 μB per formula unit